## PrDy2P (PBE-GGA)

Data for PrDy2P after structural relaxation.

Cell and atoms, written as extended XYZ:
```
4
Lattice="3.752 0.000 0.000 1.876 3.249 0.000 1.876 1.083 10.319" Properties=species:S:1:pos:R:3 pbc="T T T"
Pr 0.000 0.000 0.000
Dy 1.876 1.083 6.779
Dy 5.628 3.249 3.540
P 3.752 2.166 5.159
```

## Properties
Energy of formation   -554 meV/atom
Density of states at the Fermi level   1.302 states/eV per atom
Magnetic moment   0.57 Bohr magnetons per cell



## Pr2DyP3 (PBE-GGA)

Data for Pr2DyP3 after structural relaxation.

Cell and atoms, written as extended XYZ:
```
6
Lattice="-3.067 -1.574 2.302 -1.281 -2.246 -3.240 7.422 -4.676 2.958" Properties=species:S:1:pos:R:3 pbc="T T T"
P 2.422 -7.659 1.703
P -1.112 -3.222 0.028
P 2.883 -3.598 1.361
Pr 0.683 -5.475 0.879
Pr 1.088 -1.345 0.510
Dy 4.597 -5.749 2.172
```

## Properties
Energy of formation   -1528 meV/atom
Density of states at the Fermi level   0.130 states/eV per atom
Magnetic moment   0.00 Bohr magnetons per cell



## PrDy4P5 (PBE-GGA)

Data for PrDy4P5 after structural relaxation.

Cell and atoms, written as extended XYZ:
```
10
Lattice="3.949 0.000 0.902 1.666 6.563 1.800 0.010 0.004 9.052" Properties=species:S:1:pos:R:3 pbc="T T T"
P 3.533 4.514 2.721
P 2.308 5.918 8.083
P 2.091 2.054 9.033
P 3.316 0.650 3.671
P 0.838 3.284 5.426
Dy 4.171 3.970 9.022
Dy 1.453 2.598 2.732
Dy 2.917 5.235 5.418
Dy 2.707 1.333 6.336
Pr 0.000 0.000 0.000
```

## Properties
Energy of formation   -1585 meV/atom
Density of states at the Fermi level   0.155 states/eV per atom
Magnetic moment   0.00 Bohr magnetons per cell



## PrDy3P (PBE-GGA)

Data for PrDy3P after structural relaxation.

Cell and atoms, written as extended XYZ:
```
5
Lattice="-0.295 -5.213 1.399 5.132 0.163 1.691 -1.673 1.421 4.940" Properties=species:S:1:pos:R:3 pbc="T T T"
Dy 2.566 0.082 0.846
Dy -0.837 0.710 2.470
Dy -0.148 -2.606 0.700
Pr 1.582 -1.815 4.015
P 0.000 0.000 0.000
```

## Properties
Energy of formation   -422 meV/atom
Density of states at the Fermi level   1.702 states/eV per atom
Magnetic moment   0.95 Bohr magnetons per cell



## Pr5Dy3P8 (PBE-GGA)

Data for Pr5Dy3P8 after structural relaxation.

Cell and atoms, written as extended XYZ:
```
16
Lattice="-0.072 -7.162 4.123 2.892 -6.861 -3.585 7.095 -3.344 2.599" Properties=species:S:1:pos:R:3 pbc="T T T"
Pr -0.036 -3.581 2.061
Pr 1.446 -3.430 -1.793
Pr 1.410 -7.011 0.269
Pr 4.958 -8.683 1.568
Pr 0.000 0.000 0.000
P 2.550 -4.326 0.812
P 5.933 -9.624 4.157
P 7.439 -9.472 0.242
P 2.476 -7.894 2.894
P 3.982 -7.742 -1.021
P 5.970 -5.987 2.063
P 7.365 -13.040 2.324
P 3.945 -11.379 1.073
Dy 4.994 -5.102 -0.493
Dy 3.512 -5.253 3.361
Dy 3.548 -1.672 1.299
```

## Properties
Energy of formation   -1540 meV/atom
Density of states at the Fermi level   0.143 states/eV per atom
Magnetic moment   0.00 Bohr magnetons per cell



## Pr2Dy3P4 (PBE-GGA)

Data for Pr2Dy3P4 after structural relaxation.

Cell and atoms, written as extended XYZ:
```
9
Lattice="3.915 0.000 0.963 1.725 6.610 1.428 -0.169 0.643 9.125" Properties=species:S:1:pos:R:3 pbc="T T T"
P 2.209 6.350 7.899
P 1.926 2.573 9.049
P 3.545 4.680 2.467
P 3.262 0.903 3.616
Dy 0.000 0.000 0.000
Dy 4.003 4.478 9.044
Dy 1.468 2.775 2.472
Pr 2.584 1.670 6.375
Pr 2.887 5.583 5.140
```

## Properties
Energy of formation   -1397 meV/atom
Density of states at the Fermi level   0.639 states/eV per atom
Magnetic moment   0.00 Bohr magnetons per cell



## Pr2DyP3Pt12 (PBE-GGA)

Data for Pr2DyP3Pt12 after structural relaxation.

Cell and atoms, written as extended XYZ:
```
18
Lattice="7.770 -0.283 -0.201 3.591 6.896 -0.201 3.591 2.090 6.574" Properties=species:S:1:pos:R:3 pbc="T T T"
Dy 0.000 0.000 0.000
Pt 9.412 2.788 1.978
Pt 3.739 2.177 3.882
Pt 11.212 6.527 2.291
Pt 5.659 1.087 0.771
Pt 7.879 1.896 4.195
Pt 7.073 4.117 5.771
Pt 7.879 4.586 0.402
Pt 5.540 5.915 4.195
Pt 11.212 4.319 5.402
Pt 3.739 4.384 0.771
Pt 9.293 7.617 5.402
Pt 7.073 6.807 1.978
Pr 5.969 3.474 2.464
Pr 8.983 5.229 3.709
P 1.796 1.045 3.287
P 1.796 3.448 -0.100
P 3.885 -0.141 -0.100
```

## Properties
Energy of formation   -483 meV/atom
Density of states at the Fermi level   0.373 states/eV per atom
Magnetic moment   0.00 Bohr magnetons per cell



## Pr2DyPuP4 (PBE-GGA)

Data for Pr2DyPuP4 after structural relaxation.

Cell and atoms, written as extended XYZ:
```
8
Lattice="-2.308 3.051 -1.490 -3.898 -4.701 -3.591 -2.832 0.999 6.433" Properties=species:S:1:pos:R:3 pbc="T T T"
P -2.759 0.621 -0.110
P -3.584 -3.280 -1.167
P -3.147 -0.422 4.009
P -6.279 -1.272 1.462
Dy -3.103 -0.825 -2.541
Pr -3.365 -1.851 1.421
Pr -2.570 2.025 2.472
Pu 0.000 0.000 0.000
```

## Properties
Energy of formation   -1432 meV/atom
Density of states at the Fermi level   1.558 states/eV per atom
Magnetic moment   4.87 Bohr magnetons per cell



## PrDyP2Rh2 (PBE-GGA)

Data for PrDyP2Rh2 after structural relaxation.

Cell and atoms, written as extended XYZ:
```
6
Lattice="-0.737 2.760 -2.901 -2.067 -3.508 0.045 -5.693 3.414 4.694" Properties=species:S:1:pos:R:3 pbc="T T T"
P -3.103 -0.531 0.283
P -5.393 3.198 1.555
Dy -2.846 1.707 2.347
Rh -2.659 1.558 -0.700
Rh -5.837 1.109 2.537
Pr 0.000 0.000 0.000
```

## Properties
Energy of formation   -1214 meV/atom
Density of states at the Fermi level   0.639 states/eV per atom
Magnetic moment   0.00 Bohr magnetons per cell



## PrDyP2Rh5 (PBE-GGA)

Data for PrDyP2Rh5 after structural relaxation.

Cell and atoms, written as extended XYZ:
```
9
Lattice="-2.841 2.914 -0.185 -2.919 -2.829 0.259 0.149 0.819 10.634" Properties=species:S:1:pos:R:3 pbc="T T T"
P -2.773 0.626 7.621
P -2.837 0.277 3.087
Rh -1.391 1.617 1.983
Rh -1.339 -0.756 8.688
Rh -2.805 0.452 5.354
Rh -1.430 -1.255 2.205
Rh -1.300 2.116 8.466
Pr 0.075 0.409 5.317
Dy 0.000 0.000 0.000
```

## Properties
Energy of formation   -767 meV/atom
Density of states at the Fermi level   0.463 states/eV per atom
Magnetic moment   0.00 Bohr magnetons per cell



## PrDy2ScP4 (PBE-GGA)

Data for PrDy2ScP4 after structural relaxation.

Cell and atoms, written as extended XYZ:
```
8
Lattice="-2.826 2.841 -0.112 -4.826 -4.742 1.470 2.468 2.687 5.898" Properties=species:S:1:pos:R:3 pbc="T T T"
P -1.952 0.955 1.734
P -3.232 -0.169 5.521
P -3.056 -2.937 2.615
P 0.698 0.881 4.752
Pr -3.826 -0.951 0.679
Dy -0.179 2.764 2.893
Dy -1.179 -1.028 3.684
Sc 0.000 0.000 0.000
```

## Properties
Energy of formation   -1509 meV/atom
Density of states at the Fermi level   0.072 states/eV per atom
Magnetic moment   0.00 Bohr magnetons per cell



## Pr2DyScP4 (PBE-GGA)

Data for Pr2DyScP4 after structural relaxation.

Cell and atoms, written as extended XYZ:
```
8
Lattice="4.056 0.000 0.000 0.000 7.014 0.122 0.000 -2.453 6.556" Properties=species:S:1:pos:R:3 pbc="T T T"
P 0.000 4.694 1.620
P 2.028 1.098 1.527
P 2.028 3.463 5.150
P 0.000 -0.133 5.057
Pr 0.000 2.281 3.339
Pr 2.028 -1.226 3.278
Sc 0.000 0.000 0.000
Dy 2.028 3.507 0.061
```

## Properties
Energy of formation   -1493 meV/atom
Density of states at the Fermi level   0.088 states/eV per atom
Magnetic moment   0.00 Bohr magnetons per cell



## PrSm3Dy2P6 (PBE-GGA)

Data for PrSm3Dy2P6 after structural relaxation.

Cell and atoms, written as extended XYZ:
```
12
Lattice="7.086 -0.001 0.001 -3.542 6.137 0.001 -1.182 -2.046 6.682" Properties=species:S:1:pos:R:3 pbc="T T T"
Pr 0.000 0.000 0.000
Sm -2.373 4.098 3.342
Sm 1.181 2.045 3.342
Sm 4.736 -0.007 3.342
P 2.340 4.052 1.654
P 0.022 0.038 5.030
P -1.203 2.084 1.658
P 3.565 2.006 5.026
P 2.406 0.000 1.658
P -0.044 4.091 5.026
Dy -0.003 4.094 0.001
Dy 3.547 2.043 0.001
```

## Properties
Energy of formation   -1568 meV/atom
Density of states at the Fermi level   0.125 states/eV per atom
Magnetic moment   0.00 Bohr magnetons per cell



## PrSm2DyP4 (PBE-GGA)

Data for PrSm2DyP4 after structural relaxation.

Cell and atoms, written as extended XYZ:
```
8
Lattice="-0.469 1.456 3.815 4.812 -4.671 2.374 6.482 2.911 -0.315" Properties=species:S:1:pos:R:3 pbc="T T T"
Pr 2.172 -1.607 3.095
P 5.023 -2.020 3.603
P 5.803 1.716 2.272
P 8.441 -1.345 1.551
P 2.385 1.042 4.324
Sm 6.482 2.911 -0.315
Sm 3.007 2.184 1.750
Dy 5.647 -0.880 1.030
```

## Properties
Energy of formation   -1559 meV/atom
Density of states at the Fermi level   0.079 states/eV per atom
Magnetic moment   0.00 Bohr magnetons per cell



## Tb2PrDy3P6 (PBE-GGA)

Data for Tb2PrDy3P6 after structural relaxation.

Cell and atoms, written as extended XYZ:
```
12
Lattice="7.011 -0.001 0.001 -3.505 6.073 0.001 -1.169 -2.024 6.611" Properties=species:S:1:pos:R:3 pbc="T T T"
Dy 4.685 -0.007 3.306
Dy -2.347 4.055 3.306
Dy 1.169 2.024 3.306
P 0.020 0.034 4.930
P 2.318 4.014 1.683
P -1.188 2.058 1.686
P 3.525 1.989 4.927
P 2.376 0.000 1.686
P -0.039 4.048 4.927
Tb -0.003 4.050 0.001
Tb 3.510 2.022 0.001
Pr 0.000 0.000 0.000
```

## Properties
Energy of formation   -1589 meV/atom
Density of states at the Fermi level   0.135 states/eV per atom
Magnetic moment   0.00 Bohr magnetons per cell



## Tb3PrDy2P6 (PBE-GGA)

Data for Tb3PrDy2P6 after structural relaxation.

Cell and atoms, written as extended XYZ:
```
12
Lattice="-3.497 -1.709 -5.839 6.990 -0.593 0.204 -1.755 -5.455 4.053" Properties=species:S:1:pos:R:3 pbc="T T T"
Pr 0.000 0.000 0.000
Dy -0.006 -1.337 -3.827
Dy 3.498 -0.965 -1.808
Tb -2.640 -4.252 -2.813
Tb 4.377 -3.505 1.230
Tb 0.868 -3.879 -0.791
P 2.157 -3.088 -3.173
P -1.337 -2.154 -1.433
P -0.420 -4.669 1.591
P 2.224 -1.775 0.619
P -0.488 -5.982 -2.201
P 3.074 -5.603 -0.149
```

## Properties
Energy of formation   -1588 meV/atom
Density of states at the Fermi level   0.133 states/eV per atom
Magnetic moment   0.00 Bohr magnetons per cell



## PrDy2ThP4 (PBE-GGA)

Data for PrDy2ThP4 after structural relaxation.

Cell and atoms, written as extended XYZ:
```
8
Lattice="-1.869 -2.753 2.390 5.856 -3.949 0.032 4.121 1.926 5.442" Properties=species:S:1:pos:R:3 pbc="T T T"
Pr 1.994 -3.351 1.211
P 7.511 -1.567 4.070
P 0.598 -3.209 3.794
P 3.573 -0.888 5.284
P 4.536 -3.888 2.581
Th 4.989 -1.012 2.737
Dy 4.121 1.926 5.442
Dy 1.126 -0.414 3.916
```

## Properties
Energy of formation   -1590 meV/atom
Density of states at the Fermi level   0.189 states/eV per atom
Magnetic moment   0.00 Bohr magnetons per cell



## Pr2DyThP4 (PBE-GGA)

Data for Pr2DyThP4 after structural relaxation.

Cell and atoms, written as extended XYZ:
```
8
Lattice="-1.314 -3.930 0.061 4.114 -1.464 -5.666 3.738 -1.156 6.029" Properties=species:S:1:pos:R:3 pbc="T T T"
P 1.244 -2.600 0.088
P 3.864 -1.243 3.154
P 3.987 -1.377 -2.792
P 5.294 -3.950 0.335
Pr 3.926 -1.310 0.181
Pr 1.212 -2.543 3.045
Th 1.400 -2.697 -2.803
Dy 0.000 0.000 0.000
```

## Properties
Energy of formation   -1571 meV/atom
Density of states at the Fermi level   0.188 states/eV per atom
Magnetic moment   0.00 Bohr magnetons per cell



## PrDyTm2P4 (PBE-GGA)

Data for PrDyTm2P4 after structural relaxation.

Cell and atoms, written as extended XYZ:
```
8
Lattice="4.032 0.000 0.000 0.000 6.973 -0.136 0.000 2.455 6.533" Properties=species:S:1:pos:R:3 pbc="T T T"
Pr 2.016 3.486 -0.068
Tm 2.016 1.227 3.266
Tm 0.000 2.455 6.533
P 4.032 2.299 1.661
P 2.016 5.903 1.548
P 0.000 7.129 4.736
P 2.016 3.525 4.849
Dy 0.000 4.714 3.199
```

## Properties
Energy of formation   -1569 meV/atom
Density of states at the Fermi level   0.104 states/eV per atom
Magnetic moment   0.00 Bohr magnetons per cell



## Pr2DyTmP4 (PBE-GGA)

Data for Pr2DyTmP4 after structural relaxation.

Cell and atoms, written as extended XYZ:
```
8
Lattice="-2.912 -2.874 0.177 4.965 -4.974 0.929 -2.066 2.481 6.303" Properties=species:S:1:pos:R:3 pbc="T T T"
Dy 0.000 0.000 0.000
P -0.718 -2.079 1.812
P 0.704 -3.288 5.597
P -0.306 0.621 5.055
P 3.205 -3.114 2.177
Pr -2.489 -0.196 3.240
Pr 1.449 -1.247 3.616
Tm 1.026 -3.924 0.553
```

## Properties
Energy of formation   -1549 meV/atom
Density of states at the Fermi level   0.095 states/eV per atom
Magnetic moment   0.00 Bohr magnetons per cell